No. 1
A plane-wave DFT calculation with PBE was carried out for a relaxed structure of ScAl2NiRu.

Results
Its total energy is -4.36 eV/atom. Its space group is P4/mmm.

a b c (Å): 4.954 4.144 4.954
angles (deg): 90.00 90.00 90.00
Site moments in Bohr magnetons follow the coordinates.
Positions (direct):
Al: 0.000 0.000 0.500  0.01
Al: 0.500 0.000 0.000  0.01
Ru: 0.500 0.500 0.500  1.49
Sc: 0.000 0.000 0.000  0.04
Ni: 0.000 0.500 0.000  0.08

No. 2
A plane-wave DFT calculation with PBE was carried out for a relaxed structure of ScAlNiRu.

Results
The energy relative to the lowest polymorph listed for this composition comes out at 0 meV per atom. Its space group is Pmmm.

a b c (Å): 3.195 4.262 4.258
angles (deg): 90.00 90.00 90.00
Positions (direct):
Ni: 0.000 0.000 0.000
Al: 0.500 0.500 0.000
Ru: 0.000 0.500 0.500
Sc: 0.500 0.000 0.500

No. 3
A plane-wave DFT calculation with PBE was carried out for a relaxed structure of ScAlNiRu.

Results
The energy relative to the lowest polymorph listed for this composition comes out at 8 meV per atom. Its space group is F-43m.

a b c (Å): 4.343 4.343 4.343
angles (deg): 60.00 60.00 60.00
Positions (direct):
Al: 0.000 0.000 0.000
Sc: 0.500 0.500 0.500
Ni: 0.250 0.250 0.250
Ru: 0.750 0.750 0.750

No. 4
A plane-wave DFT calculation with PBE was carried out for a relaxed structure of AlNiRuSe2.

Results
For the formation energy from raw total energies, the calculation gives 0.97 eV/atom. Its space group is P4/mmm.

a b c (Å): 4.782 4.401 4.782
angles (deg): 90.00 90.00 90.00
Site moments in Bohr magnetons follow the coordinates.
Positions (direct):
Ru: 0.500 0.500 0.500  2.35
Ni: 0.000 0.500 0.000  0.09
Se: 0.000 0.000 0.500  0.03
Se: 0.500 0.000 0.000  0.08
Al: 0.000 0.000 0.000  0.00